Entry 1:
The following is a DFT calculation (PBE) of crystalline Sm3Er4Sb4 at its relaxed geometry.

abc: 9.833 9.833 9.833
angles: 155.57 124.07 61.92
Positions (direct):
Sm1 0.000 0.000 0.000
Sm2 0.396 0.896 0.500
Sm3 0.604 0.104 0.500
Er1 0.019 0.329 0.690
Er2 0.360 0.671 0.690
Er3 0.640 0.329 0.310
Er4 0.981 0.671 0.310
Sb1 0.255 0.255 0.000
Sb2 0.292 0.500 0.792
Sb3 0.708 0.500 0.208
Sb4 0.745 0.745 0.000

The calculation puts the total energy at -5.23 eV per atom. The formation energy from raw total energies comes out at -781.2 meV/atom. For the magnetization, the calculation gives 0.00 μB/cell.

***

Entry 2:
The following is a DFT calculation (PBE) of crystalline Pr5TmSb6 at its relaxed geometry.

abc: 7.836 7.836 7.836
angles: 99.62 99.62 120.02
Positions (direct):
Pr1 0.000 0.000 0.000
Pr2 0.166 0.834 0.500
Pr3 0.331 0.669 0.000
Pr4 0.669 0.331 0.000
Pr5 0.834 0.166 0.500
Tm1 0.500 0.500 0.500
Sb1 0.093 0.419 0.256
Sb2 0.257 0.257 0.747
Sb3 0.419 0.093 0.256
Sb4 0.581 0.907 0.744
Sb5 0.743 0.743 0.253
Sb6 0.907 0.581 0.744

The calculation puts the total energy at -5.59 eV per atom. The formation energy from raw total energies comes out at -1163.0 meV/atom. For the magnetization, the calculation gives 0.00 μB/cell.

***

Entry 3:
The following is a DFT calculation (PBE) of crystalline AcNdP at its relaxed geometry.

abc: 7.153 7.153 7.153
angles: 90.00 90.00 90.00
Positions (direct):
Ac1 0.000 0.000 0.000
Ac2 0.000 0.500 0.500
Ac3 0.500 0.000 0.500
Ac4 0.500 0.500 0.000
Nd1 0.000 0.000 0.500
Nd2 0.000 0.500 0.000
Nd3 0.500 0.000 0.000
Nd4 0.500 0.500 0.500
P1 0.250 0.250 0.250
P2 0.250 0.750 0.750
P3 0.750 0.250 0.750
P4 0.750 0.750 0.250

The calculation puts the total energy at -5.50 eV per atom. The formation energy is -2.199 eV/f.u. For the magnetization, the calculation gives 0.00 μB/cell.

***

Entry 4:
The following is a DFT calculation (PBE) of crystalline Na10Cd3Hg3 at its relaxed geometry.

abc: 9.346 9.346 6.140
angles: 90.00 90.00 120.00
Positions (direct):
Na1 0.000 0.247 0.000
Na2 0.000 0.755 0.500
Na3 0.245 0.245 0.500
Na4 0.247 0.000 0.000
Na5 0.333 0.667 0.247
Na6 0.333 0.667 0.753
Na7 0.667 0.333 0.247
Na8 0.667 0.333 0.753
Na9 0.753 0.753 0.000
Na10 0.755 0.000 0.500
Cd1 0.000 0.407 0.500
Cd2 0.407 0.000 0.500
Cd3 0.593 0.593 0.500
Hg1 0.000 0.597 0.000
Hg2 0.403 0.403 0.000
Hg3 0.597 0.000 0.000

The calculation puts the total energy at -1.17 eV per atom. The formation energy is -1.903 eV/f.u. For the magnetization, the calculation gives 0.00 μB/cell.

***

Entry 5:
The following is a DFT calculation (PBE) of crystalline AcIn12Ag4 at its relaxed geometry.

abc: 8.486 8.486 8.486
angles: 109.47 109.47 109.47
Positions (direct):
Ac1 0.000 0.000 0.000
In1 0.155 0.503 0.348
In2 0.155 0.807 0.652
In3 0.193 0.348 0.845
In4 0.348 0.155 0.503
In5 0.348 0.845 0.193
In6 0.497 0.652 0.845
In7 0.503 0.348 0.155
In8 0.652 0.155 0.807
In9 0.652 0.845 0.497
In10 0.807 0.652 0.155
In11 0.845 0.193 0.348
In12 0.845 0.497 0.652
Ag1 0.000 0.000 0.500
Ag2 0.000 0.500 0.000
Ag3 0.500 0.000 0.000
Ag4 0.500 0.500 0.500

The calculation puts the total energy at -2.83 eV per atom. The formation energy is 0.187 eV/f.u. For the magnetization, the calculation gives 0.00 μB/cell.

***

Entry 6:
The following is a DFT calculation (PBE) of crystalline KSbSe at its relaxed geometry.

abc: 7.318 10.609 6.029
angles: 90.00 115.98 90.00
Positions (direct):
K1 0.000 0.145 0.000
K2 0.000 0.855 0.500
K3 0.500 0.355 0.500
K4 0.500 0.645 0.000
Sb1 0.476 0.060 0.839
Sb2 0.476 0.940 0.339
Sb3 0.976 0.440 0.339
Sb4 0.976 0.560 0.839
Se1 0.224 0.378 0.849
Se2 0.224 0.622 0.349
Se3 0.724 0.122 0.349
Se4 0.724 0.878 0.849

The calculation puts the total energy at -3.43 eV per atom. The formation energy from raw total energies comes out at -529.3 meV/atom. For the magnetization, the calculation gives 0.00 μB/cell.